No. 1
The following is a DFT calculation (GGA-PBE) of crystalline Ba5Gd2ZrAl2O13 at its relaxed geometry.

The structure in extended XYZ format:
```
46
Lattice="-4.407 2.397 3.418 -0.645 -5.575 -2.313 10.792 -9.905 20.859" Properties=species:S:1:pos:R:3 pbc="T T T"
O 6.458 -8.305 22.314
O -2.949 -1.964 5.555
O 1.436 -2.233 8.808
O 8.727 -9.539 20.554
O -0.385 -1.907 0.841
O -0.991 -3.760 9.339
O 1.338 -7.512 9.767
O 2.134 -4.337 13.957
O 1.126 -4.912 7.697
O 8.689 -11.120 16.409
O -0.521 -0.437 5.024
O 4.614 -8.172 14.267
O 6.572 -9.968 18.051
O 4.304 -10.850 13.156
O 6.262 -12.646 16.940
O -0.831 -3.115 3.913
O 3.939 -5.876 9.198
O 6.125 -11.176 21.123
O 4.403 -5.571 12.197
O 3.607 -8.746 8.007
O -0.718 -4.778 -0.351
O 6.195 -10.346 15.241
O 6.731 -9.323 12.625
O 1.801 -7.207 12.766
O -0.455 -2.737 6.722
O -2.987 -3.544 1.409
Al -1.190 -2.062 5.301
Al 0.280 -3.412 8.144
Al 6.930 -11.021 16.663
Al 5.460 -9.672 13.820
Zr 5.396 -4.952 10.430
Zr 0.000 0.000 0.000
Ba 3.930 -8.268 10.864
Ba 0.799 -5.394 4.812
Ba 6.868 -6.303 13.275
Ba 4.941 -7.689 17.152
Ba 9.320 -8.554 18.014
Ba 8.460 -12.425 19.618
Ba 3.924 -3.601 7.585
Ba -2.720 -0.658 2.345
Ba 1.810 -4.815 11.099
Ba 1.472 -1.351 2.845
Gd 3.372 -6.249 14.119
Gd -0.770 -3.954 1.779
Gd 2.368 -6.834 7.844
Gd 6.510 -9.129 20.185
```

Results
- Theoretical density: 5.53 g/cm3
- SG: No. 194
- E_tot: -376.6 eV per cell
- Uncorrected formation energy: -70.216 kcal/mol of atoms

No. 2
The following is a DFT calculation (GGA-PBE) of crystalline Er2Hg4Pb3 at its relaxed geometry.

The structure in extended XYZ format:
```
9
Lattice="-3.608 2.349 -1.620 -3.769 -3.165 -2.727 -7.551 -2.253 7.021" Properties=species:S:1:pos:R:3 pbc="T T T"
Hg -4.943 -2.788 0.436
Hg -9.985 -0.281 2.238
Hg -5.308 -0.400 -1.820
Hg -9.620 -2.669 4.494
Er -11.712 -3.080 2.024
Er -3.217 0.011 0.650
Pb -6.556 -0.118 1.368
Pb -8.372 -2.951 1.306
Pb 0.000 0.000 0.000
```

Results
- Theoretical density: 12.28 g/cm3
- Formation energy from the elements: -2.03 eV per formula unit
- SG: No. 12
- E_tot: -23.5 eV per cell

No. 3
The following is a DFT calculation (GGA-PBE) of crystalline TbPm3Al4 at its relaxed geometry.

The structure in extended XYZ format:
```
8
Lattice="-2.581 0.029 -2.621 2.070 -2.233 -2.064 -6.430 -11.696 6.203" Properties=species:S:1:pos:R:3 pbc="T T T"
Al -4.029 -7.329 3.887
Al -2.401 -4.367 2.316
Al -5.669 -10.312 5.469
Al -0.761 -1.385 0.734
Pm -3.470 -6.950 0.759
Pm -5.100 -9.914 2.331
Pm -1.841 -3.986 -0.813
Tb -0.255 -1.102 -2.342
```

Results
- Theoretical density: 5.85 g/cm3
- Formation energy from the elements: -3.01 eV per formula unit
- SG: No. 123
- E_tot: -36.9 eV per cell

No. 4
The following is a DFT calculation (GGA-PBE) of crystalline TiCo2Cl at its relaxed geometry.

The structure in extended XYZ format:
```
8
Lattice="5.185 0.000 0.000 0.000 5.185 0.000 2.592 2.592 5.081" Properties=species:S:1:pos:R:3 pbc="T T T"
Cl 2.592 5.185 2.541
Cl 2.592 2.592 0.000
Co 3.737 1.296 1.270
Co 6.481 6.329 3.811
Co 1.448 3.889 1.270
Co 3.889 4.041 3.811
Ti 5.185 2.592 2.541
Ti 0.000 0.000 0.000
```

Results
- Theoretical density: 4.89 g/cm3
- Offset from the most stable computed form: 0.010 eV/atom
- SG: No. 122
- E_tot: -43.8 eV per cell
- Uncorrected formation energy: 11.802 kcal/mol of atoms

No. 5
The following is a DFT calculation (GGA-PBE) of crystalline SmCoB4 at its relaxed geometry.

The structure in extended XYZ format:
```
12
Lattice="-1.598 -1.060 -2.861 -0.200 -5.551 2.170 -5.071 2.490 1.910" Properties=species:S:1:pos:R:3 pbc="T T T"
B -4.156 -4.150 1.786
B -5.652 -1.679 1.707
B -4.127 -2.463 1.145
B -2.743 -1.659 0.074
B -5.437 1.243 0.503
B -1.217 -2.443 -0.488
B -2.714 0.027 -0.567
B -1.433 -5.366 0.716
Sm -1.663 -3.137 2.092
Sm -3.609 0.076 1.988
Co -4.332 -2.516 3.353
Co -0.940 -0.546 0.727
```

Results
- Theoretical density: 7.06 g/cm3
- Formation energy from the elements: -3.01 eV per formula unit
- SG: No. 65
- E_tot: -83.1 eV per cell

No. 6
The following is a DFT calculation (GGA-PBE) of crystalline TlSeCl2 at its relaxed geometry.

The structure in extended XYZ format:
```
4
Lattice="-2.317 3.545 4.285 -3.876 -3.530 2.968 5.740 1.209 -1.372" Properties=species:S:1:pos:R:3 pbc="T T T"
Cl -2.924 0.007 3.425
Cl -0.172 0.000 0.202
Se -0.616 -1.156 2.612
Tl 0.164 2.381 3.270
```

Results
- Theoretical density: 5.58 g/cm3
- Offset from the most stable computed form: 0.208 eV/atom
- SG: No. 71
- E_tot: -10.3 eV per cell
- Uncorrected formation energy: -4.142 kcal/mol of atoms

No. 7
The following is a DFT calculation (GGA-PBE) of crystalline TcSbIrI2 at its relaxed geometry.

The structure in extended XYZ format:
```
5
Lattice="-5.535 -0.336 -0.334 0.330 -5.544 0.114 -0.307 0.085 5.012" Properties=species:S:1:pos:R:3 pbc="T T T"
I -2.767 -0.168 -0.167
I 0.165 -2.772 0.057
Tc -2.756 -2.898 2.396
Ir 0.000 0.000 0.000
Sb -0.154 0.042 2.506
```

Results
- Theoretical density: 7.13 g/cm3
- Offset from the most stable computed form: 0.091 eV/atom
- SG: No. 123
- E_tot: -20.5 eV per cell
- Uncorrected formation energy: 27.464 kcal/mol of atoms

No. 8
The following is a DFT calculation (GGA-PBE) of crystalline CoSn2SbS at its relaxed geometry.

The structure in extended XYZ format:
```
5
Lattice="5.554 0.000 0.000 0.000 4.089 0.000 0.000 0.000 5.554" Properties=species:S:1:pos:R:3 pbc="T T T"
Sn 0.000 0.000 2.777
Sn 2.777 0.000 0.000
S 0.000 0.000 0.000
Sb 2.777 2.045 2.777
Co 0.000 2.045 0.000
```

Results
- Theoretical density: 5.93 g/cm3
- SG: No. 123
- E_tot: -22.1 eV per cell
- Uncorrected formation energy: 5.925 kcal/mol of atoms

No. 9
The following is a DFT calculation (GGA-PBE) of crystalline Ti2NbSn2H2 at its relaxed geometry.

The structure in extended XYZ format:
```
7
Lattice="3.742 0.000 0.000 0.000 3.742 0.000 -1.871 -1.871 7.293" Properties=species:S:1:pos:R:3 pbc="T T T"
Ti 0.000 0.000 5.841
Ti 1.871 1.871 1.452
H 1.871 0.000 0.000
H 0.000 1.871 0.000
Sn 0.000 0.000 2.853
Sn 1.871 1.871 4.440
Nb 0.000 0.000 0.000
```

Results
- Theoretical density: 6.96 g/cm3
- SG: No. 139
- E_tot: -42.0 eV per cell

No. 10
The following is a DFT calculation (GGA-PBE) of crystalline PrSm2Ga2Pt7 at its relaxed geometry.

The structure in extended XYZ format:
```
12
Lattice="-2.746 -2.798 -1.275 3.040 -2.565 -1.080 -0.094 -7.724 11.997" Properties=species:S:1:pos:R:3 pbc="T T T"
Ga 0.094 -4.151 2.163
Ga 0.107 -8.936 7.479
Pt 1.633 -4.867 0.335
Pt 0.067 -5.290 4.330
Pt 0.134 -7.797 5.312
Pt 0.147 -2.681 -1.177
Pt 1.458 -8.104 9.404
Pt -1.433 -8.220 9.307
Pt -1.257 -4.983 0.238
Sm 0.225 -7.489 2.239
Sm -0.025 -5.598 7.403
Pr 0.000 0.000 0.000
```

Results
- Theoretical density: 13.50 g/cm3
- Formation energy from the elements: -11.02 eV per formula unit
- SG: No. 12
- E_tot: -73.6 eV per cell

No. 11
The following is a DFT calculation (GGA-PBE) of crystalline Cr3RhPb at its relaxed geometry.

The structure in extended XYZ format:
```
5
Lattice="-3.864 -0.671 2.732 -1.527 -3.398 -2.994 2.362 -3.293 2.533" Properties=species:S:1:pos:R:3 pbc="T T T"
Cr -0.763 -1.699 -1.497
Cr -1.932 -0.335 1.366
Cr 1.181 -1.647 1.266
Rh 0.000 0.000 0.000
Pb -1.514 -3.681 1.135
```

Results
- Theoretical density: 7.09 g/cm3
- Formation energy from the elements: 5.18 eV per formula unit
- SG: No. 221
- E_tot: -34.7 eV per cell

No. 12
The following is a DFT calculation (GGA-PBE) of crystalline Cs2WCl6 at its relaxed geometry.

The structure in extended XYZ format:
```
9
Lattice="7.494 0.000 0.000 3.747 6.490 0.000 3.747 2.163 6.119" Properties=species:S:1:pos:R:3 pbc="T T T"
Cl 5.445 5.509 1.387
Cl 9.543 3.144 4.732
Cl 7.494 1.961 1.387
Cl 7.494 6.692 4.732
Cl 9.543 5.509 1.387
Cl 5.445 3.144 4.732
W 0.000 0.000 0.000
Cs 3.747 2.163 1.530
Cs 11.241 6.490 4.589
```

Results
- Theoretical density: 3.70 g/cm3
- SG: No. 225
- E_tot: -38.5 eV per cell
- Uncorrected formation energy: -32.689 kcal/mol of atoms